# 1
Material: ScCo2Os
Method: DFT, PBE-GGA
State: relaxed

Cell lengths 4.4806, 4.4806, 2.7344 Å; angles 90.00, 90.00, 104.74 degrees
Fractional positions:
1 Sc 0.0000 0.0000 0.0000
2 Co 0.0000 0.5000 0.5000
3 Co 0.5000 0.0000 0.5000
4 Os 0.5000 0.5000 0.0000

Energy relative to the elements in eV per atom: -0.038
ΔE to the lowest computed polymorph in meV per atom: 33.1
Space group: Cmmm, No. 65
Total moment in μB/cell: 0.0
Mass density in Mg/m³: 11.043

=====

# 2
Material: Sc2CoOs
Method: DFT, PBE-GGA
State: relaxed

Cell lengths 5.6525, 5.6525, 5.6525 Å; angles 103.94, 103.94, 121.20 degrees
Fractional positions:
1 Sc 0.1020 0.1250 0.4770
2 Sc 0.3750 0.8980 0.0230
3 Sc 0.6480 0.6250 0.5230
4 Sc 0.8750 0.3520 0.9770
5 Co 0.0000 0.0000 0.0000
6 Co 0.7500 0.2500 0.5000
7 Os 0.2500 0.7500 0.5000
8 Os 0.5000 0.5000 0.0000

Energy relative to the elements in eV per atom: 0.192
ΔE to the lowest computed polymorph in meV per atom: 559.3
Space group: I-42d, No. 122
Total moment in μB/cell: 1.5
Mass density in Mg/m³: 8.367

=====

# 3
Material: ScCoOs
Method: DFT, PBE-GGA
State: relaxed

Cell lengths 6.6766, 6.6766, 4.3149 Å; angles 90.00, 90.00, 152.15 degrees
Fractional positions:
1 Sc 0.0882 0.9118 0.7500
2 Sc 0.9118 0.0882 0.2500
3 Co 0.2443 0.7557 0.2500
4 Co 0.7557 0.2443 0.7500
5 Os 0.4062 0.5938 0.7500
6 Os 0.5938 0.4062 0.2500

Energy relative to the elements in eV per atom: -0.065
ΔE to the lowest computed polymorph in meV per atom: 314.4
Space group: Cmcm, No. 63
Total moment in μB/cell: 3.3
Mass density in Mg/m³: 10.870

=====

# 4
Material: ScCoOs
Method: DFT, PBE-GGA
State: relaxed

Cell lengths 4.2321, 4.2321, 2.9509 Å; angles 90.00, 90.00, 120.00 degrees
Fractional positions:
1 Sc 0.0000 0.0000 0.0000
2 Co 0.6667 0.3333 0.5000
3 Os 0.3333 0.6667 0.5000

Energy relative to the elements in eV per atom: -0.025
ΔE to the lowest computed polymorph in meV per atom: 354.3
Space group: P-6m2, No. 187
Total moment in μB/cell: 0.0
Mass density in Mg/m³: 10.670

=====

# 5
Material: ScCo2Os
Method: DFT, PBE-GGA
State: relaxed

Cell lengths 4.2918, 4.2918, 4.2918 Å; angles 60.00, 60.00, 60.00 degrees
Fractional positions:
1 Sc 0.0000 0.0000 0.0000
2 Co 0.2500 0.2500 0.2500
3 Co 0.7500 0.7500 0.7500
4 Os 0.5000 0.5000 0.5000

Energy relative to the elements in eV per atom: -0.053
ΔE to the lowest computed polymorph in meV per atom: 18.9
Space group: Fm-3m, No. 225
Total moment in μB/cell: 4.2
Mass density in Mg/m³: 10.488

=====

# 6
Material: Sc2CoOs2
Method: DFT, PBE-GGA
State: relaxed

Cell lengths 6.3821, 6.3821, 4.2209 Å; angles 90.00, 90.00, 90.00 degrees
Fractional positions:
1 Sc 0.1769 0.3231 0.0000
2 Sc 0.3231 0.8231 0.0000
3 Sc 0.6769 0.1769 0.0000
4 Sc 0.8231 0.6769 0.0000
5 Co 0.0000 0.0000 0.5000
6 Co 0.5000 0.5000 0.5000
7 Os 0.1348 0.6348 0.5000
8 Os 0.3651 0.1348 0.5000
9 Os 0.6348 0.8652 0.5000
10 Os 0.8652 0.3651 0.5000

Energy relative to the elements in eV per atom: -0.151
Space group: P4/mbm, No. 127
Total moment in μB/cell: 3.2
Mass density in Mg/m³: 10.225